4
Lattice="-0.1489 0.6139 3.1746 -3.2310 0.0939 -0.1697 -0.3079 -7.8742 1.5081" Properties=species:S:1:pos:R:3 comment="BaAlMo2 (SCAN, PBEsol geometry)" e_tot_ev_per_atom=-28.9362 formation_energy_ev_per_atom=0.332 total_magnetization_mub_per_cell=0.0 pbc="T T T"
Mo -0.2834 -7.2470 1.3880
Mo -1.9249 -5.6536 2.6531
Ba -1.7640 -1.5397 1.8651
Al -0.1774 -4.5374 0.8690

---

4
Lattice="2.9524 0.0022 0.0000 -1.1236 2.7302 0.0000 0.0000 0.0000 10.0634" Properties=species:S:1:pos:R:3 comment="SrTa2Mo (SCAN, PBEsol geometry)" e_tot_ev_per_atom=-46.9811 formation_energy_ev_per_atom=0.601 total_magnetization_mub_per_cell=0.0 pbc="T T T"
Mo 0.9144 1.3662 5.0317
Sr 0.9144 1.3662 0.0000
Ta 0.0000 0.0000 2.9710
Ta 0.0000 0.0000 7.0924

---

4
Lattice="-3.3229 -0.9067 0.3448 0.1576 -1.8319 -3.2981 2.8644 -5.7691 3.3414" Properties=species:S:1:pos:R:3 comment="La2ZnRu (SCAN, PBEsol geometry)" e_tot_ev_per_atom=-33.9000 formation_energy_ev_per_atom=-0.262 total_magnetization_mub_per_cell=0.0 pbc="T T T"
Ru -1.5826 -1.3693 -1.4766
Zn -0.1504 -4.2538 0.1941
La 1.9598 -4.5118 2.5997
La -2.4183 -2.1640 1.0864

---

5
Lattice="-3.1078 -1.7723 1.2498 1.6756 -3.7225 -1.1122 1.7478 -0.3595 3.8364" Properties=species:S:1:pos:R:3 comment="LaMgCo2H (SCAN, PBEsol geometry)" e_tot_ev_per_atom=-16.8160 total_magnetization_mub_per_cell=0.0 pbc="T T T"
H 0.0000 0.0000 0.0000
Mg -1.5539 -0.8862 0.6249
Co 0.8739 -0.1797 1.9182
Co 0.8378 -1.8613 -0.5561
La 0.1578 -2.9271 1.9870